Computed, not measured: a relaxed structure of TcPdN2 at the PBE level of DFT.

- ΔE_f (raw): 274 meV/atom
- Energy above the most stable polymorph in this dataset: 45 meV/atom
- Symmetry: I-42d (122)
- Uncorrected energy: -0.28586 Ha/atom

abc: 4.751 4.751 5.684
angles: 65.30 65.30 90.00
Sites, in units of the cell vectors:
Tc: 0.500 0.500 0.000
Tc: 0.250 0.750 0.500
Pd: 0.000 0.000 0.000
Pd: 0.750 0.250 0.500
N: 0.576 0.125 0.250
N: 0.174 0.625 0.250
N: 0.375 0.424 0.750
N: 0.875 0.826 0.750